A relaxed Pm4GaTe2As crystal. Source: Alexandria via LeMat-Bulk, functional PBE.

The structure in POSCAR format:
```
Pm4GaTe2As
1.0
-0.089 -2.149 -3.704
4.086 -5.559 3.127
-7.455 -1.545 1.076
Pm Ga Te As
4 1 2 1
Direct
0.500 0.241 0.223
0.500 0.759 0.777
0.000 0.256 0.769
0.000 0.744 0.231
0.500 0.500 0.000
0.500 0.000 0.500
0.000 0.500 0.500
0.000 0.000 0.000
```

Properties
**D(E_F)**: 0.24 states/eV/atom
**V**: 236.5 Å³/f.u.
**Calculated total energy**: -5.390 eV/atom